Entry 1:
Below is a geometry-optimized Ca2La structure, with properties calculated at the PBE-GGA level.

Cell lengths 10.4193, 10.4193, 6.1412 Å; angles 90.00, 90.00, 158.86 degrees
With the nearest neighbours (Å) after each atom.
Atoms (fractional coordinates):
Ca  0.0574  0.9426  0.7500  10 Ca 3.80-4.01, 2 La 3.93
Ca  0.3852  0.6148  0.7500  4 La 3.80-3.81, 8 Ca 3.80-4.01
Ca  0.6148  0.3852  0.2500  4 La 3.80-3.81, 8 Ca 3.80-4.01
Ca  0.9426  0.0574  0.2500  10 Ca 3.80-4.01, 2 La 3.93
La  0.2751  0.7249  0.2500  6 La 3.76-3.82, 6 Ca 3.80-3.93
La  0.7249  0.2751  0.7500  6 La 3.76-3.82, 6 Ca 3.80-3.93

Results
excess energy over the best structure of this formula in the dataset	0	meV per atom
M_tot	0.0	μB/cell

***

Entry 2:
Below is a geometry-optimized CaLa2 structure, with properties calculated at the PBE-GGA level.

Cell lengths 5.9891, 5.9891, 3.7394 Å; angles 90.00, 90.00, 90.00 degrees
With the nearest neighbours (Å) after each atom.
Atoms (fractional coordinates):
Ca  0.0000  0.0000  0.0000  8 La 3.53, 2 Ca 3.74
La  0.0000  0.5000  0.5000  4 Ca 3.53, 2 La 3.74
La  0.5000  0.0000  0.5000  4 Ca 3.53, 2 La 3.74

Results
excess energy over the best structure of this formula in the dataset	551	meV per atom
M_tot	0.0	μB/cell

***

Entry 3:
Below is a geometry-optimized Ca2La structure, with properties calculated at the PBE-GGA level.

Cell lengths 7.4006, 7.4006, 9.2496 Å; angles 105.81, 105.81, 29.51 degrees
With the nearest neighbours (Å) after each atom.
Atoms (fractional coordinates):
Ca  0.0000  0.0000  0.0000  7 Ca 3.77-3.85, 5 La 3.80-3.85
Ca  0.0548  0.0548  0.6154  8 Ca 3.77-3.90, 4 La 3.96
Ca  0.3297  0.3297  0.6704  9 Ca 3.77-3.89, 3 La 3.93-4.06
Ca  0.6658  0.6658  0.3336  4 La 3.75-3.90, 8 Ca 3.77-3.90
La  0.3841  0.3841  0.2622  4 La 3.55-3.77, 7 Ca 3.80-3.96
La  0.7276  0.7276  0.9659  4 La 3.55-3.77, 8 Ca 3.75-3.96

Results
excess energy over the best structure of this formula in the dataset	19	meV per atom
M_tot	0.0	μB/cell

***

Entry 4:
Below is a geometry-optimized Ca3La structure, with properties calculated at the PBE-GGA level.

Cell lengths 3.7132, 3.7132, 12.6120 Å; angles 90.00, 90.00, 111.46 degrees
With the nearest neighbours (Å) after each atom.
Atoms (fractional coordinates):
Ca  0.0000  0.0000  0.0000  8 Ca 3.71-3.81
Ca  0.5000  0.5000  0.2525  6 Ca 3.71-3.81, 2 La 3.76
Ca  0.5000  0.5000  0.7475  6 Ca 3.71-3.81, 2 La 3.76
La  0.0000  0.0000  0.5000  4 La 3.71, 4 Ca 3.76

Results
excess energy over the best structure of this formula in the dataset	45	meV per atom
M_tot	0.0	μB/cell

***

Entry 5:
Below is a geometry-optimized CaLa2 structure, with properties calculated at the PBE-GGA level.

Cell lengths 6.0530, 6.0530, 7.2874 Å; angles 90.00, 90.00, 120.00 degrees
With the nearest neighbours (Å) after each atom.
Atoms (fractional coordinates):
Ca  0.3333  0.6667  0.2500  5 La 3.49-3.64
Ca  0.6667  0.3333  0.7500  5 La 3.49-3.64
La  0.0000  0.0000  0.0000  8 La 3.64-3.94, 6 Ca 3.94
La  0.0000  0.0000  0.5000  8 La 3.64-3.94, 6 Ca 3.94
La  0.3333  0.6667  0.7500  5 Ca 3.49-3.64
La  0.6667  0.3333  0.2500  5 Ca 3.49-3.64

Results
excess energy over the best structure of this formula in the dataset	108	meV per atom
M_tot	0.0	μB/cell

***

Entry 6:
Below is a geometry-optimized Ca3La structure, with properties calculated at the PBE-GGA level.

Cell lengths 13.0820, 13.0820, 13.0820 Å; angles 16.71, 16.71, 16.71 degrees
With the nearest neighbours (Å) after each atom.
Atoms (fractional coordinates):
Ca  0.0000  0.0000  0.0000  12 Ca 3.80-3.94
Ca  0.2488  0.2488  0.2488  9 Ca 3.80-3.94, 3 La 3.86
Ca  0.7512  0.7512  0.7512  9 Ca 3.80-3.94, 3 La 3.86
La  0.5000  0.5000  0.5000  6 La 3.80, 6 Ca 3.86

Results
excess energy over the best structure of this formula in the dataset	26	meV per atom
M_tot	0.0	μB/cell

***

Entry 7:
Below is a geometry-optimized Ca2La structure, with properties calculated at the PBE-GGA level.

Cell lengths 10.4434, 10.4434, 6.2759 Å; angles 90.00, 90.00, 159.43 degrees
With the nearest neighbours (Å) after each atom.
Atoms (fractional coordinates):
Ca  0.0526  0.9474  0.7500  6 Ca 3.73-3.89, 6 La 3.86-3.89
Ca  0.2813  0.7187  0.2500  8 Ca 3.73-3.89, 4 La 3.81-3.92
Ca  0.7187  0.2813  0.7500  8 Ca 3.73-3.89, 4 La 3.81-3.92
Ca  0.9474  0.0526  0.2500  6 Ca 3.73-3.89, 6 La 3.86-3.89
La  0.3862  0.6138  0.7500  2 La 3.73, 10 Ca 3.81-3.92
La  0.6138  0.3862  0.2500  2 La 3.73, 10 Ca 3.81-3.92

Results
excess energy over the best structure of this formula in the dataset	53	meV per atom
M_tot	0.1	μB/cell

***

Entry 8:
Below is a geometry-optimized CaLa2 structure, with properties calculated at the PBE-GGA level.

Cell lengths 6.6596, 6.6596, 5.9926 Å; angles 90.00, 90.00, 59.88 degrees
With the nearest neighbours (Å) after each atom.
Atoms (fractional coordinates):
Ca  0.1655  0.8345  0.7500  2 Ca 3.72, 10 La 3.78-3.94
Ca  0.8345  0.1655  0.2500  2 Ca 3.72, 10 La 3.78-3.94
La  0.1739  0.4813  0.2500  7 La 3.63-3.98, 5 Ca 3.78-3.94
La  0.4813  0.1739  0.7500  7 La 3.63-3.98, 5 Ca 3.78-3.94
La  0.5187  0.8261  0.2500  7 La 3.63-3.98, 5 Ca 3.78-3.94
La  0.8261  0.5187  0.7500  7 La 3.63-3.98, 5 Ca 3.78-3.94

Results
excess energy over the best structure of this formula in the dataset	41	meV per atom
M_tot	0.0	μB/cell

***

Entry 9:
Below is a geometry-optimized CaLa structure, with properties calculated at the PBE-GGA level.

Cell lengths 4.9058, 4.9058, 4.9058 Å; angles 60.00, 60.00, 60.00 degrees
With the nearest neighbours (Å) after each atom.
Atoms (fractional coordinates):
Ca  0.0000  0.0000  0.0000  6 La 3.47
La  0.5000  0.5000  0.5000  6 Ca 3.47

Results
excess energy over the best structure of this formula in the dataset	600	meV per atom
M_tot	0.0	μB/cell

***

Entry 10:
Below is a geometry-optimized Ca3La structure, with properties calculated at the PBE-GGA level.

Cell lengths 7.2011, 7.2011, 7.2011 Å; angles 117.18, 117.18, 117.18 degrees
With the nearest neighbours (Å) after each atom.
Atoms (fractional coordinates):
Ca  0.0000  0.5000  0.5000  6 Ca 3.67-3.75, 2 La 3.75
Ca  0.5000  0.0000  0.5000  6 Ca 3.67-3.75, 2 La 3.75
Ca  0.5000  0.5000  0.0000  6 Ca 3.67-3.75, 2 La 3.75
La  0.0000  0.0000  0.0000  2 La 3.67, 6 Ca 3.75

Results
excess energy over the best structure of this formula in the dataset	63	meV per atom
M_tot	0.0	μB/cell

***

Entry 11:
Below is a geometry-optimized Ca2La structure, with properties calculated at the PBE-GGA level.

Cell lengths 6.2838, 6.2838, 3.7836 Å; angles 90.00, 90.00, 90.00 degrees
With the nearest neighbours (Å) after each atom.
Atoms (fractional coordinates):
Ca  0.0000  0.5000  0.0000  4 La 3.67, 2 Ca 3.78
Ca  0.5000  0.0000  0.0000  4 La 3.67, 2 Ca 3.78
La  0.0000  0.0000  0.5000  8 Ca 3.67, 2 La 3.78

Results
excess energy over the best structure of this formula in the dataset	402	meV per atom
M_tot	0.0	μB/cell

***

Entry 12:
Below is a geometry-optimized CaLa4 structure, with properties calculated at the PBE-GGA level.

Cell lengths 9.0741, 9.0741, 9.0741 Å; angles 149.31, 149.31, 43.95 degrees
With the nearest neighbours (Å) after each atom.
Atoms (fractional coordinates):
Ca  0.0000  0.0000  0.0000  8 La 3.79
La  0.2500  0.7500  0.5000  8 La 3.40-3.49
La  0.4005  0.4005  0.0000  5 La 3.35-3.49
La  0.5995  0.5995  0.0000  5 La 3.35-3.49
La  0.7500  0.2500  0.5000  8 La 3.40-3.49

Results
excess energy over the best structure of this formula in the dataset	59	meV per atom
M_tot	0.0	μB/cell

***

What did we get for final energy? Answer: -17.615 -10.122 -17.501 -10.699 -22.902 -10.774 -17.298 -23.306 -5.687 -10.627 -7.601 -20.242 eV/cell, in the order shown.